VASP calculation (PBE with a Hubbard U) on SrCoO2 after structural relaxation.

```
4
Lattice="0.000 2.922 2.922 2.922 0.000 2.922 2.922 2.922 0.000" Properties=species:S:1:pos:R:3 pbc="T T T"
O 1.461 1.461 1.461
O 4.383 4.383 4.383
Sr 2.922 2.922 2.922
Co 0.000 0.000 0.000
```

Summary:
- E_tot: -5.487 eV/atom